1.
Material: SrInBiPb
Method: DFT, PBE
State: optimized geometry

Geometry as POSCAR:
```
SrInBiPb
1.0
-0.2015 -4.8621 -0.6363
4.2962 -0.4965 2.4333
-2.5937 -0.4790 4.4816
Sr In Bi Pb
1 1 1 1
Cartesian
0.0000 0.0000 0.0000 Sr
-1.3976 -2.6705 1.9226 In
2.0473 -2.6793 0.8985 Bi
0.8512 -0.4877 3.4574 Pb
```

Calculated values
- crystal system = orthorhombic
- density of states at the Fermi level (states/eV/atom) = 0.604
- total DFT energy (no corrections) (eV per formula unit) = -13.60

2.
Material: TlIn6BiPb2
Method: DFT, PBE
State: optimized geometry

Geometry as POSCAR:
```
TlIn6BiPb2
1.0
7.0751 0.0000 0.0542
0.0000 10.5461 0.0000
0.0728 0.0000 8.2485
Tl In Bi Pb
2 12 2 4
Cartesian
0.0364 5.2731 4.1243 Tl
3.5376 0.0000 0.0271 Tl
5.3234 3.3513 6.4686 In
6.4096 1.5038 0.4319 In
5.7287 2.2701 3.4763 In
4.9204 7.5431 0.7292 In
4.2395 6.7768 3.7736 In
5.3985 8.6244 5.9855 In
1.7494 1.9218 2.3172 In
2.9085 3.7693 4.5291 In
2.2275 3.0030 7.5735 In
0.7383 9.0424 7.8708 In
1.4193 8.2761 4.8264 In
1.8245 7.1949 1.8341 In
0.0000 5.2731 0.0000 Bi
3.5740 0.0000 4.1514 Bi
6.4190 9.5131 2.7285 Pb
4.2301 4.2401 1.4770 Pb
2.9178 6.3061 6.8257 Pb
0.7290 1.0330 5.5742 Pb
```

Calculated values
- crystal system = monoclinic
- density of states at the Fermi level (states/eV/atom) = 0.524
- total DFT energy (no corrections) (eV per formula unit) = -29.43

3.
Material: TlInBi2Pb6
Method: DFT, PBE
State: optimized geometry

Geometry as POSCAR:
```
TlInBi2Pb6
1.0
9.3332 -1.5965 -0.6275
-2.7272 9.0675 -0.6275
-2.7141 -3.0695 8.5820
Tl In Bi Pb
2 2 4 12
Cartesian
-1.8576 6.9313 1.5180 Tl
5.7496 -2.5298 5.8090 Tl
4.0762 1.6845 1.5180 In
-0.1842 2.7170 5.8090 In
0.0495 -0.3910 6.7496 Bi
2.9290 2.8656 4.8684 Bi
3.8425 4.7926 0.5773 Bi
0.9629 1.5360 2.4586 Bi
-1.9804 3.2808 2.4420 Pb
1.7504 7.5001 0.5939 Pb
5.8723 1.1207 4.8849 Pb
2.1416 -3.0986 6.7330 Pb
-3.7239 5.8196 7.5082 Pb
-3.6968 5.8502 4.1098 Pb
7.6158 -1.4181 -0.1813 Pb
7.5888 -1.4486 3.2172 Pb
0.8795 4.9295 3.1431 Pb
0.4643 4.4599 -0.1071 Pb
3.0124 -0.5279 4.1839 Pb
3.4277 -0.0583 7.4341 Pb
```

Calculated values
- crystal system = monoclinic
- density of states at the Fermi level (states/eV/atom) = 0.528
- total DFT energy (no corrections) (eV per formula unit) = -34.52